Density functional theory data (PBE) for a relaxed Tl2RhI crystal.

## Properties
Calculated volume: 39.33 A^3/atom
Spin magnetization: 0.0 Bohr magnetons per cell
E_form (uncorrected): 169.7 meV per atom
Fermi-level density of states: 0.90 states/eV/f.u.
Space group: No. 122

a = 8.436 Å, b = 8.436 Å, c = 8.436 Å
α = 133.07°, β = 133.07°, γ = 68.55°
Element x y z (fractional)
Tl  0.029  0.625  0.904
Tl  0.375  0.279  0.404
Tl  0.721  0.125  0.096
Tl  0.875  0.971  0.596
Rh  0.000  0.000  0.000
Rh  0.750  0.250  0.500
I  0.250  0.750  0.500
I  0.500  0.500  0.000